Entry 1:
Hg2MoPt | PBE | relaxed

Summary:
- DFT formation energy (eV per formula unit) = 1.9
- energy above the most stable polymorph in this dataset (eV/f.u.) = 1.38
- crystal system = orthorhombic
- density (kg/m³) = 15706

a b c (Å): 5.2698 5.2698 2.8155
angles (deg): 90.00 90.00 110.60
Closest atoms and distances in Å follow each position.
Atoms (fractional coordinates):
Hg 0.0000 0.0000 0.0000  4 Hg 2.82-3.00, 4 Pt 2.99, 4 Mo 2.99
Hg 0.5000 0.5000 0.0000  4 Hg 2.82-3.00, 4 Mo 2.99, 4 Pt 2.99
Mo 0.5000 0.0000 0.5000  2 Mo 2.82, 8 Hg 2.99, 2 Pt 3.00
Pt 0.0000 0.5000 0.5000  2 Pt 2.82, 8 Hg 2.99, 2 Mo 3.00

---

Entry 2:
Ce3AlH | PBE | relaxed

Summary:
- energy above the most stable polymorph in this dataset (eV/f.u.) = 0.37
- crystal system = monoclinic
- density (kg/m³) = 6951

a b c (Å): 3.4957 7.8973 7.9563
angles (deg): 90.13 90.00 102.79
Closest atoms and distances in Å follow each position.
Atoms (fractional coordinates):
Ce 0.0659 0.1318 0.1792  1 H 2.31
Ce 0.9341 0.8682 0.8208  1 H 2.31
Ce 0.6791 0.3581 0.8325  3 H 2.30-2.32
Ce 0.3209 0.6419 0.1675  3 H 2.30-2.32
Ce 0.9191 0.8382 0.3701  3 Ce 2.73-2.82
Ce 0.0809 0.1618 0.6299  3 Ce 2.73-2.82
Al 0.2972 0.5944 0.5959  2 Al 2.74
Al 0.7028 0.4056 0.4041  2 Al 2.74
H 0.1910 0.3820 0.0196  4 Ce 2.30-2.32, 2 H 2.54
H 0.8090 0.6180 0.9804  4 Ce 2.30-2.32, 2 H 2.54

---

Entry 3:
YScRe2Se | PBE | relaxed

Summary:
- raw formation energy (eV per atom) = 1.8033
- crystal system = tetragonal
- density (kg/m³) = 7633

a b c (Å): 4.9365 5.2245 4.9365
angles (deg): 90.00 90.00 90.00
Closest atoms and distances in Å follow each position.
Atoms (fractional coordinates):
Y 0.0000 0.0000 0.0000  4 Re 2.47, 2 Se 2.61
Re 0.0000 0.0000 0.5000  2 Y 2.47
Re 0.5000 0.0000 0.0000  2 Y 2.47
Sc 0.5000 0.5000 0.5000  4 Se 3.49, 8 Re 3.59
Se 0.0000 0.5000 0.0000  2 Y 2.61

---

Entry 4:
HfThMo | PBE | relaxed

Summary:
- DFT formation energy (eV per formula unit) = 1.4
- energy above the most stable polymorph in this dataset (eV/f.u.) = 0.93
- crystal system = trigonal
- density (kg/m³) = 11817

a b c (Å): 5.2256 5.2256 6.7330
angles (deg): 67.17 67.17 60.00
Closest atoms and distances in Å follow each position.
Atoms (fractional coordinates):
Hf 0.5825 0.5825 0.2524  1 Mo 2.64
Hf 0.4175 0.4175 0.7476  1 Mo 2.64
Mo 0.2715 0.2715 0.1855  1 Hf 2.64
Mo 0.7285 0.7285 0.8145  1 Hf 2.64
Th 0.8959 0.8959 0.3124  4 Mo 3.02-3.11, 3 Hf 3.04
Th 0.1041 0.1041 0.6876  4 Mo 3.02-3.11, 3 Hf 3.04

---

Entry 5:
TlSbPdI2 | PBE | relaxed

Summary:
- raw formation energy (eV per atom) = -0.0439
- energy above the most stable polymorph in this dataset (eV/f.u.) = 0.00
- crystal system = tetragonal
- density (kg/m³) = 6618

a b c (Å): 5.7967 5.7967 5.1250
angles (deg): 90.00 90.00 90.00
Closest atoms and distances in Å follow each position.
Atoms (fractional coordinates):
I 0.0000 0.5000 0.0000  2 Pd 2.90
I 0.5000 0.0000 0.0000  2 Pd 2.90
Sb 0.0000 0.0000 0.5000  2 Pd 2.56
Tl 0.5000 0.5000 0.5000  8 I 3.87, 4 Sb 4.10
Pd 0.0000 0.0000 0.0000  2 Sb 2.56

---

Entry 6:
Cd2HgOs | PBE | relaxed

Summary:
- DFT formation energy (eV per formula unit) = 2.4
- crystal system = tetragonal
- density (kg/m³) = 13457

a b c (Å): 5.3481 5.3481 5.3481
angles (deg): 134.75 134.75 65.91
Closest atoms and distances in Å follow each position.
Atoms (fractional coordinates):
Os 0.7500 0.2500 0.5000  4 Hg 2.91, 8 Cd 3.04
Hg 0.2500 0.7500 0.5000  4 Os 2.91, 8 Cd 3.04
Cd 0.0000 0.0000 0.0000  4 Cd 2.91, 4 Hg 3.04, 4 Os 3.04
Cd 0.5000 0.5000 0.0000  4 Cd 2.91, 4 Os 3.04, 4 Hg 3.04

---

Entry 7:
Pr3Tl2Hg6 | PBE | relaxed

Summary:
- DFT formation energy (eV per formula unit) = -2.2
- crystal system = tetragonal
- density (kg/m³) = 10535

a b c (Å): 4.3383 4.3383 17.3170
angles (deg): 97.20 97.20 90.00
Closest atoms and distances in Å follow each position.
Atoms (fractional coordinates):
Pr 0.0000 0.0000 0.0000  8 Hg 3.24
Pr 0.8234 0.8234 0.6468  5 Hg 3.20-3.56, 4 Tl 3.33
Pr 0.1766 0.1766 0.3532  5 Hg 3.20-3.56, 4 Tl 3.33
Tl 0.3618 0.3618 0.7236  5 Hg 3.11-3.17, 4 Pr 3.33
Tl 0.6382 0.6382 0.2764  5 Hg 3.11-3.17, 4 Pr 3.33
Hg 0.0704 0.5704 0.1408  4 Hg 3.07, 2 Tl 3.17, 2 Pr 3.24
Hg 0.5704 0.0704 0.1408  4 Hg 3.07, 2 Tl 3.17, 2 Pr 3.24
Hg 0.9296 0.4296 0.8592  4 Hg 3.07, 2 Tl 3.17, 2 Pr 3.24
Hg 0.4296 0.9296 0.8592  4 Hg 3.07, 2 Tl 3.17, 2 Pr 3.24
Hg 0.7295 0.7295 0.4590  1 Tl 3.11, 1 Pr 3.20, 4 Hg 3.37
Hg 0.2705 0.2705 0.5410  1 Tl 3.11, 1 Pr 3.20, 4 Hg 3.37

---

Entry 8:
Cs2GeBr2Cl4 | PBE | relaxed

Summary:
- raw formation energy (eV per atom) = -1.3074
- crystal system = tetragonal
- density (kg/m³) = 3415

a b c (Å): 7.5582 7.5582 7.5582
angles (deg): 92.34 118.66 118.66
Closest atoms and distances in Å follow each position.
Atoms (fractional coordinates):
Cs 0.5000 0.7500 0.2500  8 Cl 3.80, 4 Br 3.86
Cs 0.5000 0.2500 0.7500  8 Cl 3.80, 4 Br 3.86
Ge 0.0000 0.0000 0.0000  4 Cl 2.35, 2 Br 2.51
Br 0.0000 0.7600 0.7600  1 Ge 2.51
Br 0.0000 0.2400 0.2400  1 Ge 2.51
Cl 0.0000 0.7848 0.2152  1 Ge 2.35
Cl 0.5696 0.7848 0.7848  1 Ge 2.35
Cl 0.0000 0.2152 0.7848  1 Ge 2.35
Cl 0.4304 0.2152 0.2152  1 Ge 2.35